# 1
OsS: optimized geometry, PBE.

Lattice parameters (Å, degrees): 6.4175 6.4175 6.4175 90.00 90.00 90.00
Closest atoms and distances in Å follow each position.
Fractional coordinates of all 12 atoms:
1 Os 0.2500 0.5000 0.0000  4 S 2.27
2 Os 0.7500 0.5000 0.0000  4 S 2.27
3 Os 0.5000 0.0000 0.2500  4 S 2.27
4 Os 0.5000 0.0000 0.7500  4 S 2.27
5 Os 0.0000 0.2500 0.5000  4 S 2.27
6 Os 0.0000 0.7500 0.5000  4 S 2.27
7 S 0.2500 0.0000 0.5000  4 Os 2.27
8 S 0.7500 0.0000 0.5000  4 Os 2.27
9 S 0.0000 0.5000 0.2500  4 Os 2.27
10 S 0.0000 0.5000 0.7500  4 Os 2.27
11 S 0.5000 0.2500 0.0000  4 Os 2.27
12 S 0.5000 0.7500 0.0000  4 Os 2.27

Properties
SG: Pm-3n (223)
calculated volume: 264.30 Å³/cell
ρ: 8.380 g/cm3
formation energy without anion corrections: 0.62 eV per atom
energy relative to the lowest polymorph listed for this composition: 36.8 kJ/mol of atoms
D(E_F): 11.8 states/eV per cell
raw total energy: -0.519 Ry/atom

# 2
OsS4: optimized geometry, PBE.

Lattice parameters (Å, degrees): 4.5829 4.5829 4.5829 90.00 90.00 90.00
Closest atoms and distances in Å follow each position.
Fractional coordinates of all 5 atoms:
1 S 0.0000 0.0000 0.0000  12 S 3.24
2 S 0.5000 0.0000 0.5000  2 Os 2.29
3 S 0.0000 0.5000 0.5000  2 Os 2.29
4 S 0.5000 0.5000 0.0000  2 Os 2.29
5 Os 0.5000 0.5000 0.5000  6 S 2.29

Properties
SG: Pm-3m (221)
calculated volume: 96.25 Å³/cell
ρ: 5.494 g/cm3
formation energy without anion corrections: 0.81 eV per atom
energy relative to the lowest polymorph listed for this composition: 84.5 kJ/mol of atoms
D(E_F): 4.3 states/eV per cell
raw total energy: -0.349 Ry/atom

# 3
OsS: optimized geometry, PBE.

Lattice parameters (Å, degrees): 9.9472 9.9472 3.8208 90.00 90.00 90.00
Closest atoms and distances in Å follow each position.
Fractional coordinates of all 16 atoms:
1 Os 0.7910 0.3995 0.5000  4 S 2.25-2.35
2 Os 0.2090 0.6005 0.5000  4 S 2.25-2.35
3 Os 0.6005 0.7910 0.5000  4 S 2.25-2.35
4 Os 0.3995 0.2090 0.5000  4 S 2.25-2.35
5 Os 0.8790 0.5674 0.0000  4 S 2.28-2.33
6 Os 0.1210 0.4326 0.0000  4 S 2.28-2.33
7 Os 0.4326 0.8790 0.0000  4 S 2.28-2.33
8 Os 0.5674 0.1210 0.0000  4 S 2.28-2.33
9 S 0.7629 0.6336 0.5000  4 Os 2.25-2.35
10 S 0.2371 0.3664 0.5000  4 Os 2.25-2.35
11 S 0.3664 0.7629 0.5000  4 Os 2.25-2.35
12 S 0.6336 0.2371 0.5000  4 Os 2.25-2.35
13 S 0.9086 0.3399 0.0000  4 Os 2.28-2.32
14 S 0.0914 0.6601 0.0000  4 Os 2.28-2.32
15 S 0.6601 0.9086 0.0000  4 Os 2.28-2.32
16 S 0.3399 0.0914 0.0000  4 Os 2.28-2.32

Properties
SG: P4/m (83)
calculated volume: 378.06 Å³/cell
ρ: 7.811 g/cm3
formation energy without anion corrections: 0.33 eV per atom
energy relative to the lowest polymorph listed for this composition: 9.1 kJ/mol of atoms
D(E_F): 11.2 states/eV per cell
raw total energy: -0.540 Ry/atom

# 4
OsS: optimized geometry, PBE.

Lattice parameters (Å, degrees): 3.5057 3.5057 6.5964 90.00 90.00 120.00
Closest atoms and distances in Å follow each position.
Fractional coordinates of all 4 atoms:
1 Os 0.3333 0.6667 0.7177  4 S 2.24-2.33
2 Os 0.6667 0.3333 0.2177  4 S 2.24-2.33
3 S 0.3333 0.6667 0.3643  4 Os 2.24-2.33
4 S 0.6667 0.3333 0.8643  4 Os 2.24-2.33

Properties
SG: P6_3mc (186)
calculated volume: 70.21 Å³/cell
ρ: 10.515 g/cm3
formation energy without anion corrections: 0.37 eV per atom
energy relative to the lowest polymorph listed for this composition: 12.5 kJ/mol of atoms
D(E_F): 3.5 states/eV per cell
raw total energy: -0.537 Ry/atom

# 5
OsS: optimized geometry, PBE.

Lattice parameters (Å, degrees): 5.2028 5.2028 5.2028 90.00 90.00 90.00
Closest atoms and distances in Å follow each position.
Fractional coordinates of all 8 atoms:
1 Os 0.0000 0.0000 0.0000  4 S 2.25
2 Os 0.0000 0.5000 0.5000  4 S 2.25
3 Os 0.5000 0.0000 0.5000  4 S 2.25
4 Os 0.5000 0.5000 0.0000  4 S 2.25
5 S 0.2500 0.2500 0.2500  4 Os 2.25
6 S 0.2500 0.7500 0.7500  4 Os 2.25
7 S 0.7500 0.2500 0.7500  4 Os 2.25
8 S 0.7500 0.7500 0.2500  4 Os 2.25

Properties
SG: F-43m (216)
calculated volume: 140.84 Å³/cell
ρ: 10.484 g/cm3
formation energy without anion corrections: 0.27 eV per atom
energy relative to the lowest polymorph listed for this composition: 3.5 kJ/mol of atoms
D(E_F): 3.8 states/eV per cell
raw total energy: -0.544 Ry/atom

# 6
OsS: optimized geometry, PBE.

Lattice parameters (Å, degrees): 2.9642 7.1452 9.9771 90.00 90.00 90.00
Closest atoms and distances in Å follow each position.
Fractional coordinates of all 12 atoms:
1 Os 0.0000 0.9462 0.8626  4 S 2.32-2.39
2 Os 0.5000 0.0538 0.6374  4 S 2.32-2.39
3 Os 0.5000 0.0538 0.3626  4 S 2.32-2.39
4 Os 0.0000 0.9462 0.1374  4 S 2.32-2.39
5 Os 0.0000 0.5624 0.5000  4 S 2.25-2.30
6 Os 0.5000 0.4376 0.0000  4 S 2.25-2.30
7 S 0.0000 0.8012 0.6462  4 Os 2.25-2.39
8 S 0.5000 0.1988 0.8538  4 Os 2.25-2.39
9 S 0.5000 0.1988 0.1462  4 Os 2.25-2.39
10 S 0.0000 0.8012 0.3538  4 Os 2.25-2.39
11 S 0.0000 0.6838 0.0000  4 Os 2.30-2.32
12 S 0.5000 0.3162 0.5000  4 Os 2.30-2.32

Properties
SG: Pmmn (59)
calculated volume: 211.32 Å³/cell
ρ: 10.481 g/cm3
formation energy without anion corrections: 0.26 eV per atom
energy relative to the lowest polymorph listed for this composition: 1.9 kJ/mol of atoms
D(E_F): 6.2 states/eV per cell
raw total energy: -0.545 Ry/atom